Computed, not measured: an optimized crystal structure of ScB2 at the GGA-PBE level of DFT.

Results
- density (Mg/m³) = 3.55
- total moment (μB per formula unit) = 0.002
- formation energy (kJ/mol of atoms) = 43.1

abc: 2.685 2.685 4.716
angles: 106.54 106.54 90.00
Sites, in units of the cell vectors:
Sc 0.000 0.000 0.000
B 0.288 0.288 0.575
B 0.712 0.712 0.425


Computed, not measured: an optimized crystal structure of BeTlAs2Br at the GGA-PBE level of DFT.

Results
- density (Mg/m³) = 5.03
- distance to the lowest polymorph of the same formula (eV per formula unit) = 0.00
- total moment (μB per formula unit) = 0.000

abc: 4.387 4.387 7.595
angles: 90.00 90.00 90.00
Sites, in units of the cell vectors:
As 0.000 0.500 0.000
Br 0.000 0.000 0.500
Be 0.000 0.000 0.000
Tl 0.500 0.500 0.500
As 0.500 0.000 0.000


Computed, not measured: an optimized crystal structure of Pr2Y5Sc at the GGA-PBE level of DFT.

Results
- density (Mg/m³) = 4.95
- distance to the lowest polymorph of the same formula (eV per formula unit) = 0.00
- total moment (μB per formula unit) = 0.000
- formation energy (kJ/mol of atoms) = 10.8

abc: 9.850 6.702 10.546
angles: 118.63 117.84 90.00
Sites, in units of the cell vectors:
Y 0.063 0.250 0.000
Pr 0.656 0.960 0.823
Pr 0.167 0.460 0.823
Y 0.123 0.359 0.409
Y 0.715 0.141 0.591
Pr 0.344 0.040 0.177
Y 0.695 0.051 0.202
Y 0.937 0.750 0.000
Pr 0.833 0.540 0.177
Y 0.285 0.859 0.409
Sc 0.500 0.500 0.500
Y 0.877 0.641 0.591
Y 0.507 0.551 0.202
Y 0.493 0.449 0.798
Y 0.305 0.949 0.798
Sc 0.000 0.000 0.500


Computed, not measured: an optimized crystal structure of FeCo4As at the GGA-PBE level of DFT.

Results
- density (Mg/m³) = 8.12
- total moment (μB per formula unit) = 10.196
- formation energy (kJ/mol of atoms) = 24.5

abc: 4.732 4.732 4.732
angles: 60.00 60.00 60.00
Sites, in units of the cell vectors:
Co 0.125 0.625 0.625
Co 0.625 0.625 0.625
Co 0.625 0.125 0.625
Co 0.625 0.625 0.125
Fe 0.250 0.250 0.250
As 0.000 0.000 0.000


Computed, not measured: an optimized crystal structure of RbBaNbS4 at the GGA-PBE level of DFT.

Results
- density (Mg/m³) = 3.17
- total moment (μB per formula unit) = 0.000
- final energy (eV/atom) = -5.6487

abc: 7.389 7.036 9.339
angles: 90.00 106.50 90.00
Sites, in units of the cell vectors:
Rb 0.718 0.750 0.933
S 0.590 0.250 0.843
Ba 0.234 0.250 0.553
Ba 0.766 0.750 0.447
Rb 0.282 0.250 0.067
S 0.987 0.506 0.735
S 0.410 0.750 0.157
S 0.987 0.994 0.735
S 0.385 0.750 0.554
S 0.013 0.006 0.265
S 0.013 0.494 0.265
Nb 0.213 0.750 0.308
Nb 0.787 0.250 0.692
S 0.615 0.250 0.446


Computed, not measured: an optimized crystal structure of MgScTa at the GGA-PBE level of DFT.

Results
- density (Mg/m³) = 6.54
- distance to the lowest polymorph of the same formula (eV per formula unit) = 0.05
- total moment (μB per formula unit) = 0.000
- formation energy (kJ/mol of atoms) = 7.3

abc: 2.983 4.908 8.676
angles: 90.00 90.83 90.00
Sites, in units of the cell vectors:
Mg 0.642 0.250 0.090
Sc 0.956 0.250 0.732
Mg 0.358 0.750 0.910
Ta 0.382 0.250 0.435
Ta 0.618 0.750 0.565
Sc 0.044 0.750 0.268